A plane-wave DFT calculation with PBE+U was carried out for FePSO2 after structural relaxation.

## Properties
- Fermi-level density of states: 0.54 states/eV per atom
- Total energy: -5.06 eV per atom

```
data_FePSO2
_chemical_formula_sum 'Fe1 P1 S1 O2'
_cell_length_a 3.5673
_cell_length_b 3.5673
_cell_length_c 6.0870
_cell_angle_alpha 90.00
_cell_angle_beta 90.00
_cell_angle_gamma 90.00
_symmetry_space_group_name_H-M 'P 4/m m m'
_symmetry_Int_Tables_number 123
_symmetry_space_group_name_Hall '-P 4 2'
loop_
_atom_site_label
_atom_site_type_symbol
_atom_site_fract_x
_atom_site_fract_y
_atom_site_fract_z
Fe1 Fe 0.0000 0.0000 0.0000
P1 P 0.0000 0.0000 0.5000
S1 S 0.5000 0.5000 0.5000
O1 O 0.0000 0.5000 0.0000
```